No. 1
Here is a geometry-optimized NaCu3Sn3 structure from the Alexandria database. Energies are from PBE.

Structure (POSCAR):
```
NaCu3Sn3
1.0
-2.4988 -6.8024 -0.0015
4.0875 -1.5002 -5.7929
5.4373 -1.9983 4.3541
Na Sn Cu
2 6 6
Direct
0.5000 0.5000 0.5000 Na
0.0000 0.0000 0.0000 Na
0.2500 0.0000 0.5000 Sn
0.0000 0.5000 0.2500 Sn
0.5000 0.7500 0.0000 Sn
0.7500 0.0000 0.5000 Sn
0.0000 0.5000 0.7500 Sn
0.5000 0.2500 0.0000 Sn
0.0000 0.2500 0.5000 Cu
0.0000 0.7500 0.5000 Cu
0.5000 0.0000 0.7500 Cu
0.7500 0.5000 0.0000 Cu
0.5000 0.0000 0.2500 Cu
0.2500 0.5000 0.0000 Cu
```

Values from the calculation:
ΔE to the lowest computed polymorph in eV per atom: 0.251
E_form in kJ per mole of atoms: 26
Spin magnetization in μB per cell: 0.00


No. 2
Here is a geometry-optimized NaCu2Sn3 structure from the Alexandria database. Energies are from PBE.

Structure (POSCAR):
```
NaCu2Sn3
1.0
6.6746 0.0000 0.0000
0.0000 8.0356 0.0000
-3.3373 -4.0178 5.2322
Na Cu Sn
2 4 6
Direct
0.4570 0.2500 0.5000 Na
0.5430 0.7500 0.5000 Na
0.1208 0.9452 0.8904 Cu
0.2696 0.4452 0.8904 Cu
0.7304 0.5548 0.1096 Cu
0.8792 0.0548 0.1096 Cu
0.0000 0.7044 0.0000 Sn
0.0000 0.2956 0.0000 Sn
0.5000 0.7956 0.0000 Sn
0.0000 0.0000 0.5000 Sn
0.0000 0.5000 0.5000 Sn
0.5000 0.2044 0.0000 Sn
```

Values from the calculation:
E_form in kJ per mole of atoms: 2
Spin magnetization in μB per cell: 0.00


No. 3
Here is a geometry-optimized NaCuSn2 structure from the Alexandria database. Energies are from PBE.

Structure (POSCAR):
```
NaCuSn2
1.0
4.3241 0.0000 0.0000
2.1621 3.7448 0.0000
2.1621 1.2483 6.5450
Na Cu Sn
1 1 2
Direct
0.4983 0.4983 0.5051 Na
0.6680 0.6680 0.9960 Cu
0.0512 0.0512 0.8465 Sn
0.2826 0.2826 0.1523 Sn
```

Values from the calculation:
E_form in kJ per mole of atoms: -8
Spin magnetization in μB per cell: 0.00


Please write out number 3 again, unchanged.
Here is a geometry-optimized NaCuSn2 structure from the Alexandria database. Energies are from PBE.

Structure (POSCAR):
```
NaCuSn2
1.0
4.3241 0.0000 0.0000
2.1621 3.7448 0.0000
2.1621 1.2483 6.5450
Na Cu Sn
1 1 2
Direct
0.4983 0.4983 0.5051 Na
0.6680 0.6680 0.9960 Cu
0.0512 0.0512 0.8465 Sn
0.2826 0.2826 0.1523 Sn
```

Values from the calculation:
E_form in kJ per mole of atoms: -8
Spin magnetization in μB per cell: 0.00